A plane-wave DFT calculation with PBE-GGA was carried out for a geometry-optimized TaCo2Pd2 structure.

CIF file:
```
data_TaCo2Pd2
_chemical_formula_sum 'Ta2 Co4 Pd4'
_cell_length_a 6.2041
_cell_length_b 6.2041
_cell_length_c 3.7222
_cell_angle_alpha 90.00
_cell_angle_beta 90.00
_cell_angle_gamma 90.00
_symmetry_space_group_name_H-M 'P 1'
_symmetry_Int_Tables_number 1
_symmetry_space_group_name_Hall 'P 1'
loop_
_atom_site_label
_atom_site_fract_x
_atom_site_fract_y
_atom_site_fract_z
Pd1 0.3327 0.1673 0.5000
Co1 0.3707 0.8707 0.0000
Pd2 0.1673 0.6673 0.5000
Ta1 0.5000 0.5000 0.0000
Co2 0.6293 0.1293 0.0000
Pd3 0.6673 0.8327 0.5000
Pd4 0.8327 0.3327 0.5000
Ta2 0.0000 0.0000 0.0000
Co3 0.1293 0.3707 0.0000
Co4 0.8707 0.6293 0.0000
```

Values from the calculation:
ΔH_f (0 K) ... 0.0304 eV/atom
Crystal system ... tetragonal
V ... 14.33 Å³ per atom
Symmetry ... P4/mbm, No. 127